KLaCuWO6 | PBE+U | optimized geometry

Cell lengths 5.6547, 5.6547, 5.6547 Å; angles 60.00, 60.00, 60.00 degrees
With the nearest neighbours (Å) after each atom.
Positions (direct):
K 0.0000 0.0000 0.0000  12 O 2.83
La 0.5000 0.5000 0.5000  12 O 2.83
Cu 0.2500 0.2500 0.2500  6 O 2.06
W 0.7500 0.7500 0.7500  6 O 1.94
O 0.5073 0.5073 0.9927  1 W 1.94, 1 Cu 2.06
O 0.5073 0.9927 0.5073  1 W 1.94, 1 Cu 2.06
O 0.5073 0.9927 0.9927  1 W 1.94, 1 Cu 2.06
O 0.9927 0.5073 0.5073  1 W 1.94, 1 Cu 2.06
O 0.9927 0.5073 0.9927  1 W 1.94, 1 Cu 2.06
O 0.9927 0.9927 0.5073  1 W 1.94, 1 Cu 2.06

Results
Crystal system: cubic
Total magnetization, μB/cell: 1.0
Energy, eV/cell: -67.2